# CuNiAgF6 GGA+U relaxed
# spin magnetization	8.072	μB/cell
# uncorrected energy	-3.916	eV per atom
data_CuNiAgF6
_chemical_formula_sum 'Cu2 Ni2 Ag2 F12'
_space_group_name_H-M_alt 'P 1'
_space_group_IT_number 1
_cell_length_a 5.255
_cell_length_b 5.255
_cell_length_c 9.896
_cell_angle_alpha 90.00
_cell_angle_beta 90.00
_cell_angle_gamma 120.00
loop_
_space_group_symop_operation_xyz
'x,y,z'
loop_
_atom_site_label
_atom_site_type_symbol
_atom_site_fract_x
_atom_site_fract_y
_atom_site_fract_z
Cu1 Cu 0.333 0.667 0.250
Cu2 Cu 0.667 0.333 0.750
Ni1 Ni 0.333 0.667 0.750
Ni2 Ni 0.667 0.333 0.250
Ag1 Ag 0.000 0.000 0.000
Ag2 Ag 0.000 0.000 0.500
F1 F 0.008 0.363 0.141
F2 F 0.008 0.645 0.359
F3 F 0.355 0.363 0.359
F4 F 0.355 0.992 0.141
F5 F 0.363 0.008 0.641
F6 F 0.363 0.355 0.859
F7 F 0.637 0.645 0.141
F8 F 0.637 0.992 0.359
F9 F 0.645 0.008 0.859
F10 F 0.645 0.637 0.641
F11 F 0.992 0.355 0.641
F12 F 0.992 0.637 0.859